Entry 1:
First-principles (SCAN) data for a PBEsol-optimized structure of RbLaSiS4, as listed in Alexandria via LeMat-Bulk.

Properties
The uncorrected formation energy comes out at -11.96 eV/f.u.

```
RbLaSiS4
1.0
17.1642 0.0000 0.0000
0.0000 6.5425 0.0000
0.0000 0.0000 6.4826
Rb La Si S
4 4 4 16
Direct
0.2164 0.2500 0.0326
0.2836 0.7500 0.5326
0.7164 0.2500 0.4674
0.7836 0.7500 0.9674
0.0245 0.7500 0.7124
0.4755 0.2500 0.2124
0.5245 0.7500 0.7876
0.9755 0.2500 0.2876
0.0905 0.7500 0.2162
0.4095 0.2500 0.7162
0.5905 0.7500 0.2838
0.9095 0.2500 0.7838
0.0301 0.2500 0.8644
0.1098 0.0047 0.4131
0.1098 0.4953 0.4131
0.1641 0.7500 0.9572
0.3359 0.2500 0.4572
0.3902 0.5047 0.9131
0.3902 0.9953 0.9131
0.4699 0.7500 0.3644
0.5301 0.2500 0.6356
0.6098 0.0047 0.0869
0.6098 0.4953 0.0869
0.6641 0.7500 0.5428
0.8359 0.2500 0.0428
0.8902 0.5047 0.5869
0.8902 0.9953 0.5869
0.9699 0.7500 0.1356
```

=====

Entry 2:
First-principles (SCAN) data for a PBEsol-optimized structure of RbLaSc3, as listed in Alexandria via LeMat-Bulk.

Properties
The formation energy is 4.593 eV/f.u. As for the offset from the most stable computed form: 0 kJ/mol of formula units.

```
RbLaSc3
1.0
5.5400 0.0000 0.0000
0.0000 5.5400 0.0000
0.0000 0.0000 5.5400
Rb La Sc
1 1 3
Direct
0.0000 0.0000 0.0000
0.5000 0.5000 0.5000
0.0000 0.5000 0.5000
0.5000 0.0000 0.5000
0.5000 0.5000 0.0000
```

=====

Entry 3:
First-principles (SCAN) data for a PBEsol-optimized structure of RbLa3Se, as listed in Alexandria via LeMat-Bulk.

Properties
The uncorrected formation energy comes out at 4.31 eV/f.u.

```
RbLa3Se
1.0
5.5074 0.0000 0.0000
0.0000 5.5074 0.0000
0.0000 0.0000 5.5074
Rb La Se
1 3 1
Direct
0.0000 0.0000 0.0000
0.0000 0.0000 0.5000
0.0000 0.5000 0.0000
0.5000 0.0000 0.0000
0.5000 0.5000 0.5000
```

=====

Entry 4:
First-principles (SCAN) data for a PBEsol-optimized structure of RbLa2Si, as listed in Alexandria via LeMat-Bulk.

Properties
The uncorrected formation energy comes out at 0.64 eV/f.u.

```
RbLa2Si
1.0
8.9130 0.0000 0.0000
0.0000 8.9130 0.0000
0.0000 0.0000 7.0915
Rb La Si
4 8 4
Direct
0.0000 0.0000 0.0000
0.0000 0.5000 0.2500
0.5000 0.0000 0.7500
0.5000 0.5000 0.5000
0.1928 0.2500 0.6250
0.2500 0.6928 0.8750
0.2500 0.8072 0.3750
0.3072 0.2500 0.1250
0.6928 0.7500 0.1250
0.7500 0.1928 0.3750
0.7500 0.3072 0.8750
0.8072 0.7500 0.6250
0.0000 0.0000 0.5000
0.0000 0.5000 0.7500
0.5000 0.0000 0.2500
0.5000 0.5000 0.0000
```

=====

Entry 5:
First-principles (SCAN) data for a PBEsol-optimized structure of RbLaZr2Si, as listed in Alexandria via LeMat-Bulk.

Properties
The uncorrected formation energy comes out at 8.09 eV/f.u.

```
RbLaZr2Si
1.0
4.9357 0.0000 0.0000
0.0000 4.9357 0.0000
0.0000 0.0000 5.6124
Rb La Zr Si
1 1 2 1
Direct
0.0000 0.0000 0.0000
0.5000 0.5000 0.5000
0.0000 0.5000 0.0000
0.5000 0.0000 0.0000
0.0000 0.0000 0.5000
```

=====

Entry 6:
First-principles (SCAN) data for a PBEsol-optimized structure of RbSrLa2Zn, as listed in Alexandria via LeMat-Bulk.

Properties
The formation energy is 5.698 eV/f.u.

```
RbSrLa2Zn
1.0
5.9019 0.0000 0.0000
0.0000 5.9019 0.0000
0.0000 0.0000 6.2266
Rb Sr La Zn
1 1 2 1
Direct
0.0000 0.0000 0.0000
0.0000 0.0000 0.5000
0.0000 0.5000 0.5000
0.5000 0.0000 0.5000
0.5000 0.5000 0.0000
```

=====

Entry 7:
First-principles (SCAN) data for a PBEsol-optimized structure of RbLaTa3, as listed in Alexandria via LeMat-Bulk.

Properties
The formation energy is 12.403 eV/f.u.

```
RbLaTa3
1.0
5.1026 0.0000 0.0000
0.0000 5.1026 0.0000
0.0000 0.0000 5.1026
Rb La Ta
1 1 3
Direct
0.0000 0.0000 0.0000
0.5000 0.5000 0.5000
0.0000 0.5000 0.5000
0.5000 0.0000 0.5000
0.5000 0.5000 0.0000
```

=====

Entry 8:
First-principles (SCAN) data for a PBEsol-optimized structure of RbLa3Tc, as listed in Alexandria via LeMat-Bulk.

Properties
The formation energy is 8.472 eV/f.u.

```
RbLa3Tc
1.0
5.4699 0.0000 0.0000
0.0000 5.4699 0.0000
0.0000 0.0000 5.4699
Rb La Tc
1 3 1
Direct
0.0000 0.0000 0.0000
0.0000 0.0000 0.5000
0.0000 0.5000 0.0000
0.5000 0.0000 0.0000
0.5000 0.5000 0.5000
```

=====

Entry 9:
First-principles (SCAN) data for a PBEsol-optimized structure of RbLaTi3, as listed in Alexandria via LeMat-Bulk.

Properties
The formation energy is 8.606 eV/f.u.

```
RbLaTi3
1.0
4.9181 0.0000 0.0000
0.0000 4.9181 0.0000
0.0000 0.0000 4.9181
Rb La Ti
1 1 3
Direct
0.0000 0.0000 0.0000
0.5000 0.5000 0.5000
0.0000 0.0000 0.5000
0.0000 0.5000 0.0000
0.5000 0.0000 0.0000
```

=====

Entry 10:
First-principles (SCAN) data for a PBEsol-optimized structure of Rb3LaW, as listed in Alexandria via LeMat-Bulk.

Properties
The formation energy is 10.822 eV/f.u.

```
Rb3LaW
1.0
6.7076 0.0000 0.0000
0.0000 6.7076 0.0000
0.0000 0.0000 6.7076
Rb La W
3 1 1
Direct
0.0000 0.0000 0.5000
0.0000 0.5000 0.0000
0.5000 0.0000 0.0000
0.0000 0.0000 0.0000
0.5000 0.5000 0.5000
```

=====

Entry 11:
First-principles (SCAN) data for a PBEsol-optimized structure of RbLa2Zr, as listed in Alexandria via LeMat-Bulk.

Properties
The formation energy is 2.759 eV/f.u.

```
RbLa2Zr
1.0
8.1243 0.0000 0.0000
0.0000 8.1243 0.0000
0.0000 0.0000 8.1243
Rb La Zr
4 8 4
Direct
0.0000 0.0000 0.0000
0.0000 0.5000 0.5000
0.5000 0.0000 0.5000
0.5000 0.5000 0.0000
0.2500 0.2500 0.2500
0.2500 0.2500 0.7500
0.2500 0.7500 0.2500
0.2500 0.7500 0.7500
0.7500 0.2500 0.2500
0.7500 0.2500 0.7500
0.7500 0.7500 0.2500
0.7500 0.7500 0.7500
0.0000 0.0000 0.5000
0.0000 0.5000 0.0000
0.5000 0.0000 0.0000
0.5000 0.5000 0.5000
```

=====

Entry 12:
First-principles (SCAN) data for a PBEsol-optimized structure of La5Re, as listed in Alexandria via LeMat-Bulk.

Properties
The formation energy is 0.697 eV/f.u.

```
La5Re
1.0
12.5743 0.0000 0.0000
0.0000 3.6374 0.0000
-2.7558 0.0000 7.7817
La Re
10 2
Direct
0.0000 0.0000 0.0000
0.0187 0.0000 0.4230
0.1557 0.5000 0.7893
0.2940 0.0000 0.1553
0.3127 0.0000 0.5788
0.5000 0.5000 0.0000
0.5187 0.5000 0.4230
0.6557 0.0000 0.7893
0.7940 0.5000 0.1553
0.8127 0.5000 0.5788
0.1565 0.5000 0.2893
0.6565 0.0000 0.2893
```

=====

Number 1: electronic total energy -497.31 eV/cell. Number 2: electronic total energy -101.96 eV/cell. Number 3: electronic total energy -165.82 eV/cell. Number 4: electronic total energy -465.31 eV/cell. Number 5: electronic total energy -127.17 eV/cell. Number 6: electronic total energy -137.04 eV/cell. Number 7: electronic total energy -251.19 eV/cell. Number 8: electronic total energy -176.64 eV/cell. Number 9: electronic total energy -103.33 eV/cell. Number 10: electronic total energy -164.19 eV/cell. Number 11: electronic total energy -539.56 eV/cell. Number 12: electronic total energy -571.85 eV/cell.